Nb2HgAs2: optimized geometry, PBE.

Summary:
The value obtained for the formation energy is -0.31 eV/atom. The calculation puts the density of states at the Fermi level at 1.56 states/eV per cell. For the excess energy over the best structure of this formula in the dataset, the calculation gives 0 meV per atom.

Cell and atoms, written as POSCAR:
```
Nb2HgAs2
1.0
7.438 0.000 0.000
0.000 7.438 0.000
0.000 0.000 3.367
As Nb Hg
4 4 2
Direct
0.146 0.646 0.500
0.646 0.854 0.500
0.854 0.354 0.500
0.354 0.146 0.500
0.358 0.858 0.000
0.858 0.642 0.000
0.642 0.142 0.000
0.142 0.358 0.000
0.000 0.000 0.000
0.500 0.500 0.000
```

=====

NbHgAs3: optimized geometry, PBE.

Summary:
The value obtained for the formation energy is 0.25 eV/atom. The calculation puts the density of states at the Fermi level at 3.79 states/eV per cell. For the excess energy over the best structure of this formula in the dataset, the calculation gives 0 meV per atom.

Cell and atoms, written as POSCAR:
```
NbHgAs3
1.0
5.036 0.000 0.000
0.000 5.036 0.000
0.000 0.000 5.036
As Nb Hg
3 1 1
Direct
0.000 0.500 0.000
0.000 0.000 0.500
0.500 0.000 0.000
0.000 0.000 0.000
0.500 0.500 0.500
```

=====

NbHg3As: optimized geometry, PBE.

Summary:
The value obtained for the formation energy is 1.08 eV/atom. The calculation puts the density of states at the Fermi level at 5.19 states/eV per cell.

Cell and atoms, written as POSCAR:
```
NbHg3As
1.0
5.235 0.000 0.000
0.000 5.235 0.000
0.000 0.000 5.235
As Nb Hg
1 1 3
Direct
0.000 0.000 0.000
0.500 0.500 0.500
0.000 0.500 0.000
0.000 0.000 0.500
0.500 0.000 0.000
```

=====

NbHg3As: optimized geometry, PBE.

Summary:
The value obtained for the formation energy is 1.08 eV/atom. The calculation puts the density of states at the Fermi level at 3.12 states/eV per cell.

Cell and atoms, written as POSCAR:
```
NbHg3As
1.0
5.371 0.000 0.000
0.000 5.371 0.000
0.000 0.000 5.371
As Nb Hg
1 1 3
Direct
0.500 0.500 0.500
0.000 0.000 0.000
0.000 0.500 0.000
0.000 0.000 0.500
0.500 0.000 0.000
```

=====

Nb2HgAs2: optimized geometry, PBE.

Summary:
The value obtained for the formation energy is -0.10 eV/atom. The calculation puts the density of states at the Fermi level at 1.63 states/eV per cell. For the excess energy over the best structure of this formula in the dataset, the calculation gives 214 meV per atom.

Cell and atoms, written as POSCAR:
```
Nb2HgAs2
1.0
7.531 0.000 0.000
0.000 7.531 0.000
0.000 0.000 3.267
As Nb Hg
4 4 2
Direct
0.360 0.860 0.000
0.860 0.640 0.000
0.640 0.140 0.000
0.140 0.360 0.000
0.148 0.648 0.500
0.648 0.852 0.500
0.852 0.352 0.500
0.352 0.148 0.500
0.000 0.000 0.000
0.500 0.500 0.000
```

=====

NbHgAs2O8: optimized geometry, PBE.

Summary:
The uncorrected formation energy comes out at -1322 meV per atom. The calculation puts the density of states at the Fermi level at 3.24 states/eV per cell.

Cell and atoms, written as POSCAR:
```
NbHgAs2O8
1.0
5.497 0.000 0.000
-2.749 4.761 0.000
0.000 0.000 7.843
Nb Hg As O
1 1 2 8
Direct
0.000 0.000 0.000
0.000 0.000 0.500
0.333 0.667 0.761
0.667 0.333 0.239
0.167 0.334 0.849
0.167 0.833 0.849
0.666 0.833 0.849
0.334 0.167 0.151
0.667 0.333 0.452
0.333 0.667 0.548
0.833 0.666 0.151
0.833 0.167 0.151
```

=====

NbHgAsO6: optimized geometry, PBE.

Summary:
The uncorrected formation energy comes out at -1453 meV per atom.

Cell and atoms, written as POSCAR:
```
NbHgAsO6
1.0
5.219 0.000 0.000
2.610 4.520 0.000
0.000 0.000 4.974
Nb Hg As O
1 1 1 6
Direct
0.667 0.667 0.500
0.000 0.000 0.000
0.333 0.333 0.500
0.021 0.367 0.289
0.367 0.021 0.711
0.612 0.367 0.711
0.021 0.612 0.711
0.367 0.612 0.289
0.612 0.021 0.289
```

=====

NbReHg2As: optimized geometry, PBE.

Summary:
The value obtained for the formation energy is 1.54 eV/atom. The calculation puts the density of states at the Fermi level at 6.25 states/eV per cell.

Cell and atoms, written as POSCAR:
```
NbReHg2As
1.0
5.011 0.000 0.000
0.000 4.591 0.000
0.000 0.000 5.011
Re Nb As Hg
1 1 1 2
Direct
0.000 0.500 0.000
0.500 0.500 0.500
0.000 0.000 0.000
0.000 0.000 0.500
0.500 0.000 0.000
```